Model P:
VASP calculation (GGA-PBE) on an optimized crystal structure of Ba2Cd2Hg3.

a = 11.928 Å, b = 5.024 Å, c = 7.933 Å
α = 90.00°, β = 111.27°, γ = 90.00°
Space group C2/m (No. 12)
Unique sites:
Ba  0.145  0.000  0.260
Cd  0.147  0.000  0.725
Hg  0.000  0.500  0.500
Hg  0.110  0.500  0.930

Results
For the spin magnetization, the calculation gives 0.00 Bohr magnetons per cell. The value obtained for the calculated volume is 31.641 A^3/atom.



Model Q:
VASP calculation (GGA-PBE) on an optimized crystal structure of Ba2Cd2Hg3.

a = 4.731 Å, b = 21.976 Å, c = 8.659 Å
α = 90.00°, β = 90.00°, γ = 90.00°
Space group Cmcm (No. 63)
Unique sites:
Ba  0.000  0.060  0.250
Ba  0.000  0.158  0.750
Cd  0.000  0.313  0.560
Hg  0.000  0.225  0.250
Hg  0.000  0.440  0.074

Results
For the spin magnetization, the calculation gives 0.00 Bohr magnetons per cell. The value obtained for the calculated volume is 32.154 A^3/atom.



In terms of stability, model Q leads; the second structure lies 3.3 kJ/mol of atoms higher.



Model P:
VASP calculation (GGA-PBE) on an optimized crystal structure of BaCdHg6.

a = 5.2544 Å, b = 5.2544 Å, c = 28.6162 Å
α = 90.00°, β = 90.00°, γ = 120.00°
Space group R-3m (No. 166, hexagonal axes)
Unique sites:
Ba  0.0000  0.0000  0.0000
Cd  0.0000  0.0000  0.5000
Hg  0.0000  0.0000  0.1340
Hg  0.0000  0.0000  0.2504
Hg  0.0000  0.0000  0.3940

Results
For the spin magnetization, the calculation gives 0.00 Bohr magnetons per cell. The value obtained for the calculated volume is 28.509 A^3/atom.



Model Q:
VASP calculation (GGA-PBE) on an optimized crystal structure of BaCdHg6.

a = 5.329 Å, b = 7.368 Å, c = 11.836 Å
α = 90.00°, β = 90.00°, γ = 90.00°
Space group Amm2 (No. 38)
Unique sites:
Ba  0.000  0.000  0.000
Cd  0.500  0.000  0.733
Hg  0.000  0.000  0.544
Hg  0.000  0.228  0.264
Hg  0.500  0.000  0.195
Hg  0.500  0.208  0.447

Results
For the spin magnetization, the calculation gives 0.00 Bohr magnetons per cell. The value obtained for the calculated volume is 29.043 A^3/atom.



In terms of stability, model P leads; the second structure lies 2.3 kJ/mol of atoms higher.



Model P:
VASP calculation (GGA-PBE) on an optimized crystal structure of Ba8CdHg2.

a = 10.633 Å, b = 15.490 Å, c = 7.110 Å
α = 90.00°, β = 107.20°, γ = 90.00°
Space group Cm (No. 8)
Unique sites:
Ba  0.000  0.000  0.000
Ba  0.064  0.369  0.782
Ba  0.162  0.133  0.586
Ba  0.223  0.500  0.378
Ba  0.360  0.225  0.185
Cd  0.362  0.000  0.343
Hg  0.363  0.315  0.686

Results
For the spin magnetization, the calculation gives 0.00 Bohr magnetons per cell. The value obtained for the calculated volume is 50.850 A^3/atom.



Model Q:
VASP calculation (GGA-PBE) on an optimized crystal structure of Ba8CdHg2.

a = 21.410 Å, b = 6.018 Å, c = 8.427 Å
α = 90.00°, β = 107.57°, γ = 90.00°
Space group C2/m (No. 12)
Unique sites:
Ba  0.035  0.000  0.296
Ba  0.095  0.500  0.950
Ba  0.170  0.500  0.469
Ba  0.203  0.000  0.818
Cd  0.000  0.500  0.500
Hg  0.185  0.000  0.211

Results
For the spin magnetization, the calculation gives 0.00 Bohr magnetons per cell. The value obtained for the calculated volume is 47.053 A^3/atom.



In terms of stability, model Q leads; the second structure lies 4.3 kJ/mol of atoms higher.



Model P:
VASP calculation (GGA-PBE) on an optimized crystal structure of BaCd2Hg4.

a = 9.062 Å, b = 7.242 Å, c = 6.771 Å
α = 90.00°, β = 115.92°, γ = 90.00°
Space group C2/m (No. 12)
Unique sites:
Ba  0.000  0.000  0.000
Cd  0.014  0.500  0.791
Hg  0.182  0.207  0.663

Results
For the spin magnetization, the calculation gives 0.00 Bohr magnetons per cell. The value obtained for the calculated volume is 28.547 A^3/atom.



Model Q:
VASP calculation (GGA-PBE) on an optimized crystal structure of BaCd2Hg4.

a = 8.040 Å, b = 8.040 Å, c = 5.901 Å
α = 90.00°, β = 90.00°, γ = 90.00°
Space group I4/mmm (No. 139)
Unique sites:
Ba  0.000  0.000  0.000
Cd  0.000  0.500  0.250
Hg  0.193  0.193  0.500

Results
For the spin magnetization, the calculation gives 0.00 Bohr magnetons per cell. The value obtained for the calculated volume is 27.242 A^3/atom.



In terms of stability, model Q leads; the second structure lies 1.2 kJ/mol of atoms higher.



Model P:
VASP calculation (GGA-PBE) on an optimized crystal structure of BaCd2Hg8.

a = 6.390 Å, b = 6.390 Å, c = 9.503 Å
α = 90.00°, β = 90.00°, γ = 90.00°
Space group P4/mmm (No. 123)
Unique sites:
Ba  0.000  0.000  0.000
Cd  0.000  0.500  0.500
Hg  0.258  0.258  0.272

Results
For the spin magnetization, the calculation gives 0.00 Bohr magnetons per cell. The value obtained for the calculated volume is 35.271 A^3/atom.



Model Q:
VASP calculation (GGA-PBE) on an optimized crystal structure of BaCd2Hg8.

a = 16.959 Å, b = 6.547 Å, c = 5.669 Å
α = 90.00°, β = 100.99°, γ = 90.00°
Space group C2/m (No. 12)
Unique sites:
Ba  0.000  0.000  0.000
Cd  0.246  0.500  0.478
Hg  0.094  0.255  0.552
Hg  0.099  0.500  0.042
Hg  0.211  0.000  0.004

Results
For the spin magnetization, the calculation gives 0.00 Bohr magnetons per cell. The value obtained for the calculated volume is 28.089 A^3/atom.



In terms of stability, model Q leads; the second structure lies 10.2 kJ/mol of atoms higher.